Compound: CrGaRe3
Source: Alexandria
Functional: GGA-PBE
Structure: optimized geometry

abc: 4.452 4.452 4.452
angles: 90.00 90.00 90.00
Space group Pm-3m (No. 221)
Unique sites:
Cr 0.000 0.000 0.000 x1
Ga 0.500 0.500 0.500 x1
Re 0.000 0.500 0.500 x3

Values from the calculation:
DFT formation energy in kJ/mol of atoms: 204.8
Offset from the most stable computed form in kJ/mol of atoms: 51.0

=====

Compound: LiLuCoSn
Source: Alexandria
Functional: GGA-PBE
Structure: optimized geometry

abc: 6.468 6.468 6.468
angles: 90.00 90.00 90.00
Space group F-43m (No. 216)
Unique sites:
Li 0.000 0.000 0.000 x4
Lu 0.250 0.250 0.250 x4
Co 0.000 0.000 0.500 x4
Sn 0.250 0.250 0.750 x4

Values from the calculation:
DFT formation energy in kJ/mol of atoms: -38.1

=====

Compound: Sb2AsSI
Source: Alexandria
Functional: GGA-PBE
Structure: optimized geometry

abc: 5.247 5.247 5.433
angles: 90.00 90.00 90.00
Space group P4/mmm (No. 123)
Unique sites:
Sb 0.000 0.500 0.000 x2
As 0.000 0.000 0.500 x1
S 0.500 0.500 0.000 x1
I 0.500 0.500 0.500 x1

Values from the calculation:
Formation energy from raw total energies in eV per atom: 0.804
Offset from the most stable computed form in kJ/mol of atoms: 0.0

=====

Compound: Na3Ho2ThTe6
Source: Alexandria
Functional: GGA-PBE
Structure: optimized geometry

abc: 7.628 13.212 8.059
angles: 90.00 108.40 90.00
Space group C2/m (No. 12)
Unique sites:
Na 0.000 0.000 0.000 x2
Na 0.000 0.335 0.000 x4
Ho 0.000 0.167 0.500 x4
Th 0.000 0.500 0.500 x2
Te 0.240 0.000 0.736 x4
Te 0.248 0.331 0.736 x8

Values from the calculation:
Formation energy from raw total energies in eV per atom: -1.231

=====

Compound: BaCaFeRu2
Source: Alexandria
Functional: GGA-PBE
Structure: optimized geometry

abc: 5.031 5.031 5.022
angles: 90.00 90.00 90.00
Space group P4/mmm (No. 123)
Unique sites:
Ba 0.000 0.000 0.000 x1
Ca 0.500 0.500 0.500 x1
Fe 0.500 0.500 0.000 x1
Ru 0.000 0.500 0.500 x2

Values from the calculation:
DFT formation energy in kJ/mol of atoms: 151.1

=====

Compound: Tc2BiS2
Source: Alexandria
Functional: GGA-PBE
Structure: optimized geometry

abc: 7.746 7.746 3.014
angles: 90.00 90.00 90.00
Space group P4/mbm (No. 127)
Unique sites:
Tc 0.122 0.378 0.000 x4
Bi 0.000 0.000 0.000 x2
S 0.126 0.626 0.500 x4

Values from the calculation:
Formation energy from raw total energies in eV per atom: 0.252
Offset from the most stable computed form in kJ/mol of atoms: 8.0

=====

Compound: ScSbTeI2
Source: Alexandria
Functional: GGA-PBE
Structure: optimized geometry

abc: 5.854 5.854 5.974
angles: 90.00 90.00 90.00
Space group P4/mmm (No. 123)
Unique sites:
Sc 0.000 0.000 0.000 x1
Sb 0.500 0.500 0.500 x1
Te 0.500 0.500 0.000 x1
I 0.000 0.500 0.500 x2

Values from the calculation:
Formation energy from raw total energies in eV per atom: 0.289
Offset from the most stable computed form in kJ/mol of atoms: 50.5

=====

Compound: GeWSCl2
Source: Alexandria
Functional: GGA-PBE
Structure: optimized geometry

abc: 4.874 4.874 4.666
angles: 90.00 90.00 90.00
Space group P4/mmm (No. 123)
Unique sites:
Ge 0.000 0.000 0.000 x1
W 0.500 0.500 0.500 x1
S 0.500 0.500 0.000 x1
Cl 0.000 0.500 0.500 x2

Values from the calculation:
Formation energy from raw total energies in eV per atom: 0.292
Offset from the most stable computed form in kJ/mol of atoms: 0.0